Entry 1:
A relaxed structure of TlReF3, computed with PBE-GGA.

Computed properties:
Energy above the lowest structure with this stoichiometry (meV/atom): 0
Formation energy from raw total energies (meV/atom): -918
N(E_F) (states/eV per cell): 4.2

Lattice parameters (Å, degrees): 4.337 4.337 4.337 90.00 90.00 90.00
Space group Pm-3m (No. 221)
Unique sites:
Tl1 0.000 0.000 0.000
Re1 0.500 0.500 0.500
F1 0.000 0.500 0.500


Entry 2:
A relaxed structure of Tl2ReF6, computed with PBE-GGA.

Computed properties:
Energy above the lowest structure with this stoichiometry (meV/atom): 7
Formation energy from raw total energies (meV/atom): -2009
N(E_F) (states/eV per cell): 0.0

Lattice parameters (Å, degrees): 6.1562 6.1562 4.9045 90.00 90.00 120.00
Space group P-3m1 (No. 164)
Unique sites:
Tl1 0.3333 0.6667 0.2027
Re1 0.0000 0.0000 0.5000
F1 0.1569 0.3139 0.7197


Entry 3:
A relaxed structure of Tl3ReF7, computed with PBE-GGA.

Computed properties:
Formation energy from raw total energies (meV/atom): -1839
N(E_F) (states/eV per cell): 12.9

Lattice parameters (Å, degrees): 9.089 8.764 6.816 90.00 127.62 90.00
Space group Cm (No. 8)
Unique sites:
Tl1 0.000 0.000 0.000
Tl2 0.006 0.263 0.560
Re1 0.045 0.500 0.104
F1 0.108 0.281 0.230
F2 0.198 0.500 0.974
F3 0.287 0.500 0.463
F4 0.368 0.138 0.814
F5 0.387 0.000 0.231


Entry 4:
A relaxed structure of TlRe2F, computed with PBE-GGA.

Computed properties:
Energy above the lowest structure with this stoichiometry (meV/atom): 0
Formation energy from raw total energies (meV/atom): 462
N(E_F) (states/eV per cell): 12.8

Lattice parameters (Å, degrees): 3.586 3.586 22.005 90.00 90.00 90.00
Space group I-42d (No. 122)
Unique sites:
Tl1 0.000 0.000 0.000
Re1 0.247 0.750 0.625
F1 0.000 0.000 0.500


Entry 5:
A relaxed structure of TlRe2F, computed with PBE-GGA.

Computed properties:
Energy above the lowest structure with this stoichiometry (meV/atom): 838
Formation energy from raw total energies (meV/atom): 1301
N(E_F) (states/eV per cell): 25.6

Lattice parameters (Å, degrees): 6.365 6.365 6.365 90.00 90.00 90.00
Space group Fm-3m (No. 225)
Unique sites:
Tl1 0.000 0.000 0.000
Re1 0.250 0.250 0.250
F1 0.000 0.000 0.500


Entry 6:
A relaxed structure of Tl2ReF6, computed with PBE-GGA.

Computed properties:
Energy above the lowest structure with this stoichiometry (meV/atom): 0
Formation energy from raw total energies (meV/atom): -2016
N(E_F) (states/eV per cell): 0.0

Lattice parameters (Å, degrees): 6.351 7.014 10.602 90.00 121.78 90.00
Space group P2_1/c (No. 14)
Unique sites:
Tl1 0.220 0.063 0.251
Re1 0.500 0.000 0.000
F1 0.204 0.140 0.971
F2 0.297 0.736 0.429
F3 0.406 0.061 0.793


> Look up the formation energy from raw total energies of the third one.

-1839 meV/atom


> The highest formation energy from raw total energies belongs to which entry?

number 5


> What is the formula in the third record?

Tl3ReF7


> Number 1 is which compound?

TlReF3